Entry 1:
A plane-wave DFT calculation with PBE was carried out for a geometry-optimized PrTm6Sc structure.

Cell lengths 4.9114, 6.9828, 6.9828 Å; angles 89.99, 90.00, 90.00 degrees
Fractional positions:
1 Pr 0.5000 0.0000 0.0000
2 Tm 0.5000 0.5000 0.0000
3 Tm 0.5000 0.0000 0.5000
4 Tm 0.0000 0.7451 0.7451
5 Tm 0.0000 0.7453 0.2547
6 Tm 0.0000 0.2547 0.7453
7 Tm 0.0000 0.2549 0.2549
8 Sc 0.5000 0.5000 0.5000

offset from the most stable computed form = 0.0 kJ per mole of atoms
ΔH_f (0 K) = 0.039 eV per atom
calculated total energy = -37.63 eV for the cell shown
space group = P4/mmm

Entry 2:
A plane-wave DFT calculation with PBE was carried out for a geometry-optimized PrTm12Sc6 structure.

Cell lengths 8.4659, 8.4659, 8.4659 Å; angles 97.24, 97.24, 97.24 degrees
Fractional positions:
1 Tm 0.5274 0.8080 0.5274
2 Tm 0.1920 0.4726 0.4726
3 Tm 0.5000 0.1251 0.8749
4 Tm 0.8080 0.5274 0.5274
5 Tm 0.5000 0.8749 0.1251
6 Tm 0.8749 0.5000 0.1251
7 Tm 0.4726 0.4726 0.1920
8 Tm 0.4726 0.1920 0.4726
9 Tm 0.1251 0.8749 0.5000
10 Tm 0.8749 0.1251 0.5000
11 Tm 0.1251 0.5000 0.8749
12 Tm 0.5274 0.5274 0.8080
13 Sc 0.2682 0.8099 0.8099
14 Sc 0.8099 0.2682 0.8099
15 Sc 0.8099 0.8099 0.2682
16 Sc 0.1901 0.7318 0.1901
17 Sc 0.1901 0.1901 0.7318
18 Sc 0.7318 0.1901 0.1901
19 Pr 0.0000 0.0000 0.0000

ΔH_f (0 K) = 0.394 eV per atom
calculated total energy = -88.93 eV for the cell shown
space group = R-3m

Question: What is the formula in the second record?
Answer: PrTm12Sc6